No. 1
# LiAs2IrSe | Alexandria via LeMat-Bulk | GGA-PBE | optimized geometry
data_LiAs2IrSe
_cell_length_a 4.675
_cell_length_b 4.675
_cell_length_c 5.682
_cell_angle_alpha 90.00
_cell_angle_beta 90.00
_cell_angle_gamma 90.00
_symmetry_space_group_name_H-M 'P 4/m m m'
_symmetry_Int_Tables_number 123
_symmetry_space_group_name_Hall '-P 4 2'
loop_
_atom_site_label
_atom_site_fract_x
_atom_site_fract_y
_atom_site_fract_z
Li1 0.000 0.000 0.000
As1 0.000 0.500 0.500
Ir1 0.500 0.500 0.500
Se1 0.500 0.500 0.000
# total magnetization	0.00	μB/f.u.
# uncorrected energy	-22.5	eV/cell
# distance to the lowest polymorph of the same formula	0.00	eV per formula unit
# crystal system	tetragonal
# volume	124.2	Å³ per cell
# formation energy without anion corrections	0.221	eV/atom

---

No. 2
# Pm2ScAl | Alexandria via LeMat-Bulk | GGA-PBE | optimized geometry
data_Pm2ScAl
_cell_length_a 6.589
_cell_length_b 5.036
_cell_length_c 6.847
_cell_angle_alpha 90.00
_cell_angle_beta 106.44
_cell_angle_gamma 90.00
_symmetry_space_group_name_H-M 'P 1 21/m 1'
_symmetry_Int_Tables_number 11
_symmetry_space_group_name_Hall '-P 2yb'
loop_
_atom_site_label
_atom_site_fract_x
_atom_site_fract_y
_atom_site_fract_z
Pm1 0.162 0.250 0.412
Pm2 0.186 0.250 0.911
Sc1 0.385 0.750 0.227
Al1 0.376 0.750 0.709
# total magnetization	0.00	μB/f.u.
# uncorrected energy	-40.6	eV/cell
# distance to the lowest polymorph of the same formula	0.00	eV per formula unit
# crystal system	monoclinic
# volume	217.9	Å³ per cell
# energy of formation from the pure elements	-0.18	eV per atom

---

No. 3
# NaCeSiN3 | Alexandria via LeMat-Bulk | GGA-PBE | optimized geometry
data_NaCeSiN3
_cell_length_a 6.328
_cell_length_b 3.317
_cell_length_c 7.936
_cell_angle_alpha 90.00
_cell_angle_beta 92.78
_cell_angle_gamma 90.00
_symmetry_space_group_name_H-M 'P 1 21/m 1'
_symmetry_Int_Tables_number 11
_symmetry_space_group_name_Hall '-P 2yb'
loop_
_atom_site_label
_atom_site_fract_x
_atom_site_fract_y
_atom_site_fract_z
Na1 0.138 0.250 0.176
Ce1 0.242 0.750 0.557
Si1 0.449 0.250 0.875
N1 0.030 0.250 0.645
N2 0.352 0.750 0.951
N3 0.485 0.750 0.327
# total magnetization	0.00	μB/f.u.
# uncorrected energy	-85.7	eV/cell
# crystal system	monoclinic
# volume	166.3	Å³ per cell
# formation energy without anion corrections	-0.869	eV/atom

---

No. 4
# KAs2BrO | Alexandria via LeMat-Bulk | GGA-PBE | optimized geometry
data_KAs2BrO
_cell_length_a 4.265
_cell_length_b 4.265
_cell_length_c 7.799
_cell_angle_alpha 90.00
_cell_angle_beta 90.00
_cell_angle_gamma 90.00
_symmetry_space_group_name_H-M 'P 4/m m m'
_symmetry_Int_Tables_number 123
_symmetry_space_group_name_Hall '-P 4 2'
loop_
_atom_site_label
_atom_site_fract_x
_atom_site_fract_y
_atom_site_fract_z
K1 0.000 0.000 0.000
As1 0.000 0.500 0.500
Br1 0.500 0.500 0.000
O1 0.500 0.500 0.500
# total magnetization	0.00	μB/f.u.
# uncorrected energy	-18.6	eV/cell
# crystal system	tetragonal
# volume	141.8	Å³ per cell
# formation energy without anion corrections	-0.308	eV/atom

---

No. 5
# Sc2HgCl | Alexandria via LeMat-Bulk | GGA-PBE | optimized geometry
data_Sc2HgCl
_cell_length_a 5.138
_cell_length_b 6.054
_cell_length_c 6.508
_cell_angle_alpha 108.27
_cell_angle_beta 112.40
_cell_angle_gamma 90.17
_symmetry_space_group_name_H-M 'P 1'
_symmetry_Int_Tables_number 1
_symmetry_space_group_name_Hall 'P 1'
loop_
_atom_site_label
_atom_site_fract_x
_atom_site_fract_y
_atom_site_fract_z
Sc1 0.000 0.000 0.000
Sc2 0.020 0.430 0.596
Sc3 0.271 0.931 0.598
Sc4 0.563 0.764 0.135
Hg1 0.090 0.539 0.168
Hg2 0.537 0.253 0.086
Cl1 0.589 0.618 0.721
Cl2 0.768 0.040 0.581
# total magnetization	0.51	μB/f.u.
# uncorrected energy	-34.9	eV/cell
# distance to the lowest polymorph of the same formula	0.56	eV per formula unit
# crystal system	triclinic
# volume	176.0	Å³ per cell
# formation energy without anion corrections	-0.654	eV/atom

---

No. 6
# Cd2Sb2As | Alexandria via LeMat-Bulk | GGA-PBE | optimized geometry
data_Cd2Sb2As
_cell_length_a 8.039
_cell_length_b 8.039
_cell_length_c 4.073
_cell_angle_alpha 90.00
_cell_angle_beta 90.00
_cell_angle_gamma 90.00
_symmetry_space_group_name_H-M 'P 4/m b m'
_symmetry_Int_Tables_number 127
_symmetry_space_group_name_Hall '-P 4 2ab'
loop_
_atom_site_label
_atom_site_fract_x
_atom_site_fract_y
_atom_site_fract_z
Cd1 0.127 0.373 0.000
Sb1 0.188 0.688 0.500
As1 0.000 0.000 0.500
# total magnetization	0.00	μB/f.u.
# uncorrected energy	-27.3	eV/cell
# distance to the lowest polymorph of the same formula	0.00	eV per formula unit
# crystal system	tetragonal
# volume	263.2	Å³ per cell
# formation energy without anion corrections	0.212	eV/atom

---

No. 7
# SrAg3Sn | Alexandria via LeMat-Bulk | GGA-PBE | optimized geometry
data_SrAg3Sn
_cell_length_a 5.253
_cell_length_b 5.253
_cell_length_c 5.253
_cell_angle_alpha 90.00
_cell_angle_beta 90.00
_cell_angle_gamma 90.00
_symmetry_space_group_name_H-M 'P m -3 m'
_symmetry_Int_Tables_number 221
_symmetry_space_group_name_Hall '-P 4 2 3'
loop_
_atom_site_label
_atom_site_fract_x
_atom_site_fract_y
_atom_site_fract_z
Sr1 0.000 0.000 0.000
Ag1 0.000 0.500 0.500
Sn1 0.500 0.500 0.500
# total magnetization	0.00	μB/f.u.
# uncorrected energy	-14.2	eV/cell
# distance to the lowest polymorph of the same formula	1.22	eV per formula unit
# crystal system	cubic
# volume	144.9	Å³ per cell
# energy of formation from the pure elements	0.01	eV per atom

---

No. 8
# LiSiNi4 | Alexandria via LeMat-Bulk | GGA-PBE | optimized geometry
data_LiSiNi4
_cell_length_a 3.730
_cell_length_b 9.234
_cell_length_c 3.717
_cell_angle_alpha 90.00
_cell_angle_beta 90.00
_cell_angle_gamma 90.00
_symmetry_space_group_name_H-M 'C m m m'
_symmetry_Int_Tables_number 65
_symmetry_space_group_name_Hall '-C 2 2'
loop_
_atom_site_label
_atom_site_fract_x
_atom_site_fract_y
_atom_site_fract_z
Li1 0.000 0.000 0.000
Si1 0.000 0.500 0.500
Ni1 0.000 0.159 0.500
Ni2 0.000 0.342 0.000
# total magnetization	0.00	μB/f.u.
# uncorrected energy	-64.7	eV/cell
# distance to the lowest polymorph of the same formula	0.00	eV per formula unit
# crystal system	orthorhombic
# volume	128.0	Å³ per cell
# formation energy without anion corrections	-0.313	eV/atom

---

No. 9
# CaBi3Au8 | Alexandria via LeMat-Bulk | GGA-PBE | optimized geometry
data_CaBi3Au8
_cell_length_a 5.7035
_cell_length_b 5.7035
_cell_length_c 28.1270
_cell_angle_alpha 90.00
_cell_angle_beta 90.00
_cell_angle_gamma 120.00
_symmetry_space_group_name_H-M 'R 3 m'
_symmetry_Int_Tables_number 160
_symmetry_space_group_name_Hall 'R 3 -2"'
loop_
_atom_site_label
_atom_site_fract_x
_atom_site_fract_y
_atom_site_fract_z
Ca1 0.0000 0.0000 0.0000
Bi1 0.0000 0.0000 0.1276
Bi2 0.0000 0.0000 0.4986
Bi3 0.0000 0.0000 0.6198
Au1 0.0000 0.0000 0.3118
Au2 0.0000 0.0000 0.8107
Au3 0.0020 0.5010 0.5624
Au4 0.1671 0.3343 0.3934
# total magnetization	0.00	μB/f.u.
# uncorrected energy	-128.1	eV/cell
# crystal system	trigonal
# volume	792.4	Å³ per cell
# energy of formation from the pure elements	-0.24	eV per atom

---

No. 10
# YMg2 | Alexandria via LeMat-Bulk | GGA-PBE | optimized geometry
data_YMg2
_cell_length_a 7.429
_cell_length_b 7.429
_cell_length_c 6.477
_cell_angle_alpha 90.00
_cell_angle_beta 90.00
_cell_angle_gamma 90.00
_symmetry_space_group_name_H-M 'I 4/m c m'
_symmetry_Int_Tables_number 140
_symmetry_space_group_name_Hall '-I 4 2c'
loop_
_atom_site_label
_atom_site_fract_x
_atom_site_fract_y
_atom_site_fract_z
Y1 0.000 0.000 0.250
Mg1 0.147 0.353 0.000
# total magnetization	0.00	μB/f.u.
# uncorrected energy	-35.2	eV/cell
# crystal system	tetragonal
# volume	357.4	Å³ per cell
# energy of formation from the pure elements	0.29	eV per atom

---

No. 11
# Rb2CeAs2Se6 | Alexandria via LeMat-Bulk | GGA-PBE | optimized geometry
data_Rb2CeAs2Se6
_cell_length_a 12.179
_cell_length_b 7.511
_cell_length_c 8.965
_cell_angle_alpha 90.00
_cell_angle_beta 113.81
_cell_angle_gamma 90.00
_symmetry_space_group_name_H-M 'C 1 2/m 1'
_symmetry_Int_Tables_number 12
_symmetry_space_group_name_Hall '-C 2y'
loop_
_atom_site_label
_atom_site_fract_x
_atom_site_fract_y
_atom_site_fract_z
Rb1 0.195 0.000 0.156
Ce1 0.000 0.000 0.500
As1 0.069 0.500 0.198
Se1 0.044 0.247 0.771
Se2 0.245 0.000 0.564
# total magnetization	0.00	μB/f.u.
# uncorrected energy	-94.0	eV/cell
# crystal system	monoclinic
# volume	750.3	Å³ per cell
# formation energy without anion corrections	-0.810	eV/atom

---

No. 12
# Nd2MgCd2Pd5 | Alexandria via LeMat-Bulk | GGA-PBE | optimized geometry
data_Nd2MgCd2Pd5
_cell_length_a 10.518
_cell_length_b 10.518
_cell_length_c 3.712
_cell_angle_alpha 90.00
_cell_angle_beta 90.00
_cell_angle_gamma 90.00
_symmetry_space_group_name_H-M 'P 4/m b m'
_symmetry_Int_Tables_number 127
_symmetry_space_group_name_Hall '-P 4 2ab'
loop_
_atom_site_label
_atom_site_fract_x
_atom_site_fract_y
_atom_site_fract_z
Nd1 0.169 0.331 0.000
Mg1 0.000 0.000 0.000
Cd1 0.132 0.632 0.000
Pd1 0.000 0.500 0.500
Pd2 0.037 0.803 0.500
# total magnetization	0.00	μB/f.u.
# uncorrected energy	-87.8	eV/cell
# crystal system	tetragonal
# volume	410.6	Å³ per cell
# energy of formation from the pure elements	-0.50	eV per atom

---

> The lowest uncorrected energy belongs to which entry?

CaBi3Au8